{
  "formula": "Ga6Pd3Rh",
  "functional": "PBE",
  "state": "optimized geometry",
  "cell": [[6.7831, 0.0000, 0.3793], [0.0000, 6.4200, 0.0000], [0.5697, 0.0000, 7.8828]],
  "species": ["Ga", "Ga", "Ga", "Ga", "Ga", "Ga", "Ga", "Ga", "Ga", "Ga", "Ga", "Ga", "Pd", "Pd", "Pd", "Pd", "Pd", "Pd", "Rh", "Rh"],
  "fractional_positions": [[0.3463, 0.8293, 0.4190], [0.3379, 0.8683, 0.0570], [0.2758, 0.5249, 0.7708], [0.7242, 0.4751, 0.2292], [0.6621, 0.1317, 0.9430], [0.8379, 0.6317, 0.5570], [0.1537, 0.3293, 0.0810], [0.6537, 0.1707, 0.5810], [0.1621, 0.3683, 0.4430], [0.7758, 0.9751, 0.2708], [0.8463, 0.6707, 0.9190], [0.2242, 0.0249, 0.7292], [0.4530, 0.1690, 0.2506], [0.0470, 0.6690, 0.2494], [0.5000, 0.5000, 0.0000], [0.5470, 0.8310, 0.7494], [0.0000, 0.0000, 0.5000], [0.9530, 0.3310, 0.7506], [0.0000, 0.0000, 0.0000], [0.5000, 0.5000, 0.5000]],
  "space_group": "P2_1/c (14)",
  "volume_a3_per_atom": 17.1,
  "crystal_system": "monoclinic",
  "formation_enthalpy_0k_ev_per_fu": -4.1,
  "total_magnetization_mub_per_cell": 0.0
}

{
  "formula": "TlNi2Se",
  "functional": "PBE",
  "state": "optimized geometry",
  "cell": [[-0.4516, 3.3873, -1.5488], [-2.2195, -2.1842, -4.1299], [-3.4481, 0.3134, 1.6908]],
  "species": ["Ni", "Ni", "Tl", "Se"],
  "fractional_positions": [[0.0000, 0.9901, 0.2468], [0.0000, 0.5099, 0.2532], [0.5000, 0.7500, 0.7500], [0.5000, 0.2500, 0.2500]],
  "space_group": "P2/m (10)",
  "volume_a3_per_atom": 18.7,
  "polymorph_energy_ev_per_atom": 0.154,
  "crystal_system": "monoclinic",
  "raw_formation_energy_ev_per_atom": 0.175,
  "total_magnetization_mub_per_cell": 0.0
}

{
  "formula": "NpVTe2",
  "functional": "PBE",
  "state": "optimized geometry",
  "cell": [[3.4553, 0.0000, 0.0000], [1.7277, 2.9924, 0.0000], [1.7277, 0.9975, 9.9176]],
  "species": ["V", "Te", "Te", "Np"],
  "fractional_positions": [[0.5000, 0.5000, 0.5000], [0.8933, 0.8933, 0.3201], [0.1067, 0.1067, 0.6799], [0.0000, 0.0000, 0.0000]],
  "space_group": "R-3m (166)",
  "volume_a3_per_atom": 25.6,
  "polymorph_energy_ev_per_atom": 0.221,
  "crystal_system": "trigonal",
  "raw_formation_energy_ev_per_atom": 0.104,
  "total_magnetization_mub_per_cell": 5.2
}

{
  "formula": "Tb3Ce5Sb8",
  "functional": "PBE",
  "state": "optimized geometry",
  "cell": [[7.7423, 0.0000, 4.4348], [2.6010, 7.2923, 4.4348], [0.0279, 0.0197, 8.9270]],
  "species": ["Ce", "Ce", "Ce", "Ce", "Ce", "Sb", "Sb", "Sb", "Sb", "Sb", "Sb", "Sb", "Sb", "Tb", "Tb", "Tb"],
  "fractional_positions": [[0.5000, 0.5000, 0.5000], [0.0000, 0.0000, 0.0000], [0.5000, 0.5000, 0.0000], [0.0000, 0.5000, 0.0000], [0.5000, 0.0000, 0.0000], [0.7516, 0.7516, 0.7452], [0.2484, 0.2484, 0.2548], [0.7500, 0.7500, 0.2536], [0.2464, 0.7500, 0.2536], [0.2500, 0.7536, 0.7464], [0.2500, 0.2500, 0.7464], [0.7536, 0.2500, 0.7464], [0.7500, 0.2464, 0.2536], [0.5000, 0.0000, 0.5000], [0.0000, 0.0000, 0.5000], [0.0000, 0.5000, 0.5000]],
  "space_group": "R-3m (166)",
  "volume_a3_per_atom": 31.4,
  "crystal_system": "trigonal",
  "raw_formation_energy_ev_per_atom": -1.082,
  "total_magnetization_mub_per_cell": 4.0
}

{
  "formula": "ScSbOs4",
  "functional": "PBE",
  "state": "optimized geometry",
  "cell": [[3.3204, -4.0885, -0.0941], [3.1205, -0.9546, 4.1354], [-0.8951, -4.1911, 3.0632]],
  "species": ["Os", "Os", "Os", "Os", "Sb", "Sc"],
  "fractional_positions": [[0.3751, 0.8748, 0.3751], [0.3751, 0.3751, 0.3751], [0.8748, 0.3751, 0.3751], [0.3751, 0.3751, 0.8748], [0.7500, 0.7500, 0.7500], [0.0000, 0.0000, 0.0000]],
  "space_group": "F-43m (216)",
  "volume_a3_per_atom": 17.2,
  "crystal_system": "cubic",
  "raw_formation_energy_ev_per_atom": 0.268,
  "total_magnetization_mub_per_cell": 0.0
}

{
  "formula": "BiIrW",
  "functional": "PBE",
  "state": "optimized geometry",
  "cell": [[4.7620, 0.0000, 0.0000], [-2.3810, 2.3814, 0.0000], [0.0000, 0.0000, 10.5947]],
  "species": ["Ir", "Ir", "Bi", "Bi", "W", "W"],
  "fractional_positions": [[0.6944, 0.3888, 0.0000], [0.1945, 0.3889, 0.5000], [0.6945, 0.3889, 0.3290], [0.6945, 0.3889, 0.6710], [0.1944, 0.3888, 0.1168], [0.1944, 0.3888, 0.8832]],
  "space_group": "P4/mmm (123)",
  "volume_a3_per_atom": 20.0,
  "crystal_system": "tetragonal",
  "formation_enthalpy_0k_ev_per_fu": 1.9,
  "total_magnetization_mub_per_cell": 0.0
}

{
  "formula": "Dy2Be3GePt4",
  "functional": "PBE",
  "state": "optimized geometry",
  "cell": [[4.0886, 0.0000, 0.0000], [0.0000, 4.0886, 0.0000], [0.0000, 0.0000, 9.6449]],
  "species": ["Pt", "Pt", "Pt", "Pt", "Be", "Be", "Be", "Ge", "Dy", "Dy"],
  "fractional_positions": [[0.0000, 0.0000, 0.0000], [0.5000, 0.5000, 0.0000], [0.5000, 0.0000, 0.6433], [0.0000, 0.5000, 0.3567], [0.0000, 0.0000, 0.5000], [0.5000, 0.0000, 0.8807], [0.0000, 0.5000, 0.1193], [0.5000, 0.5000, 0.5000], [0.0000, 0.5000, 0.7546], [0.5000, 0.0000, 0.2454]],
  "space_group": "P-4m2 (115)",
  "volume_a3_per_atom": 16.1,
  "crystal_system": "tetragonal",
  "formation_enthalpy_0k_ev_per_fu": -9.2,
  "total_magnetization_mub_per_cell": 0.0
}

{
  "formula": "Nd12TlPb3",
  "functional": "PBE",
  "state": "optimized geometry",
  "cell": [[-2.3545, 0.5136, 4.3821], [-2.3335, -4.3604, -0.7427], [14.9440, -9.5559, 9.1494]],
  "species": ["Nd", "Nd", "Nd", "Nd", "Nd", "Nd", "Nd", "Nd", "Nd", "Nd", "Nd", "Nd", "Tl", "Pb", "Pb", "Pb"],
  "fractional_positions": [[0.5000, 0.0000, 0.8745], [0.0000, 0.5000, 0.3753], [0.0000, 0.5000, 0.6247], [0.5000, 0.0000, 0.6247], [0.0000, 0.5000, 0.8745], [0.5000, 0.5000, 0.0000], [0.0000, 0.5000, 0.1255], [0.5000, 0.0000, 0.3753], [0.5000, 0.5000, 0.5000], [0.5000, 0.5000, 0.2507], [0.5000, 0.0000, 0.1255], [0.5000, 0.5000, 0.7493], [0.0000, 0.0000, 0.0000], [0.0000, 0.0000, 0.7508], [0.0000, 0.0000, 0.2492], [0.0000, 0.0000, 0.5000]],
  "space_group": "P4/mmm (123)",
  "volume_a3_per_atom": 31.2,
  "crystal_system": "tetragonal",
  "formation_enthalpy_0k_ev_per_fu": -4.9,
  "total_magnetization_mub_per_cell": 0.0
}